Record 1
VASP calculation (PBE-GGA) on a relaxed MgCrNi crystal.

Calculated values
**ΔH_f (0 K)**: 0.8 eV per formula unit

Structure (extended XYZ):
```
6
Lattice="4.3315 -0.0009 0.0001 0.0006 5.0682 -0.0012 2.1657 0.0019 3.7503" Properties=species:S:1:pos:R:3 pbc="T T T"
Cr 4.5991 4.1161 2.9263
Cr 4.5988 1.5820 2.9269
Mg 2.4326 0.6290 1.6776
Mg 0.2675 2.5342 0.4254
Ni 0.2671 4.9897 0.4283
Ni 2.4333 3.2405 1.6744
```

---

Record 2
VASP calculation (PBE-GGA) on a relaxed MgCrNi crystal.

Calculated values
**ΔH_f (0 K)**: 0.6 eV per formula unit

Structure (extended XYZ):
```
6
Lattice="-2.5193 -0.4795 1.0180 -0.9498 -2.8914 -3.3557 3.7362 -5.2807 2.3688" Properties=species:S:1:pos:R:3 pbc="T T T"
Cr -0.6229 -3.4883 -0.6686
Cr 0.5022 -3.7418 0.9298
Mg 2.7478 -5.5342 1.9160
Mg 1.5348 -5.6007 -0.7589
Ni -1.3019 -1.9857 1.4715
Ni -2.6109 -2.2771 -1.3423
```